(1)
VASP calculation (PBE-GGA) on an optimized crystal structure of NiSn3Ir.

Output
Space group: Pm-3m
Distance to the lowest polymorph of the same formula in meV/atom: 0

abc: 4.816 4.816 4.816
angles: 90.00 90.00 90.00
Fractional positions:
Sn 0.500 0.000 0.000
Ir 0.500 0.500 0.500
Sn 0.000 0.000 0.500
Ni 0.000 0.000 0.000
Sn 0.000 0.500 0.000


(2)
VASP calculation (PBE-GGA) on an optimized crystal structure of Ni6Sn2Ir.

Output
Space group: C2/m

abc: 5.992 5.122 5.122
angles: 55.57 79.58 79.58
Fractional positions:
Ni 0.315 0.339 0.826
Ni 0.685 0.661 0.174
Ni 0.315 0.826 0.339
Sn 0.171 0.341 0.341
Ir 0.000 0.000 0.000
Ni 0.389 0.819 0.819
Ni 0.685 0.174 0.661
Ni 0.611 0.181 0.181
Sn 0.829 0.659 0.659


(3)
VASP calculation (PBE-GGA) on an optimized crystal structure of SrNiSn2Ir.

Output
Space group: I-4m2

abc: 4.506 4.506 6.479
angles: 110.35 110.35 90.00
Fractional positions:
Sr 0.000 0.000 0.000
Ni 0.250 0.750 0.500
Sn 0.634 0.634 0.269
Ir 0.750 0.250 0.500
Sn 0.366 0.366 0.731


(4)
VASP calculation (PBE-GGA) on an optimized crystal structure of Sr2NiSn4Ir3.

Output
Space group: P-4m2

abc: 4.625 4.625 10.631
angles: 90.00 90.00 90.00
Fractional positions:
Sn 0.000 0.500 0.380
Sn 0.500 0.500 0.000
Ir 0.000 0.500 0.130
Sn 0.500 0.000 0.620
Ni 0.500 0.500 0.500
Sr 0.500 0.000 0.258
Ir 0.000 0.000 0.500
Ir 0.500 0.000 0.870
Sr 0.000 0.500 0.742
Sn 0.000 0.000 0.000


(5)
VASP calculation (PBE-GGA) on an optimized crystal structure of TbNiSnIr.

Output
Space group: F-43m

abc: 4.684 4.684 4.684
angles: 60.00 60.00 60.00
Fractional positions:
Ni 0.500 0.500 0.500
Tb 0.750 0.750 0.750
Ir 0.000 0.000 0.000
Sn 0.250 0.250 0.250


(6)
VASP calculation (PBE-GGA) on an optimized crystal structure of ThNiSnIr.

Output
Space group: F-43m

abc: 4.829 4.829 4.829
angles: 60.00 60.00 60.00
Fractional positions:
Ni 0.250 0.250 0.250
Ir 0.750 0.750 0.750
Th 0.000 0.000 0.000
Sn 0.500 0.500 0.500


(7)
VASP calculation (PBE-GGA) on an optimized crystal structure of TiNiSnIr.

Output
Space group: I-4m2

abc: 4.159 4.159 4.628
angles: 116.70 116.70 90.00
Site moments in Bohr magnetons follow the coordinates.
Fractional positions:
Sn 0.750 0.250 0.500  0.03
Ni 0.000 0.000 0.000  0.47
Ti 0.250 0.750 0.500  0.23
Ir 0.500 0.500 0.000  0.18


(8)
VASP calculation (PBE-GGA) on an optimized crystal structure of TlNiSnIr2.

Output
Space group: P4/mmm

abc: 4.695 4.622 4.695
angles: 90.00 90.00 90.00
Site moments in Bohr magnetons follow the coordinates.
Fractional positions:
Ir 0.500 0.000 0.000  0.07
Ir 0.000 0.000 0.500  0.20
Ni 0.000 0.000 0.000  0.21
Tl 0.500 0.500 0.500  -0.01
Sn 0.000 0.500 0.000  -0.01


Ordered ΔH_f (0 K) results: 537 84 -362 -437 -480 -448 -473 948; unit meV/atom.